# RuRh3C

A relaxed RuRh3C crystal (PBE, the Alexandria database).

Results
energy above the most stable polymorph in this dataset	0.0000	eV per atom
formation enthalpy at 0 K	2.35	eV per formula unit
total moment	0.0	μB/f.u.
E	-38.2	eV per cell

a = 4.0456 Å, b = 4.0456 Å, c = 4.0456 Å
α = 90.00°, β = 90.00°, γ = 90.00°
Last column: nearest neighbours and their distance in Å.
Fractional coordinates of all 5 atoms:
C 0.0000 0.0000 0.0000  6 Rh 2.02
Rh 0.0000 0.5000 0.0000  2 C 2.02
Rh 0.0000 0.0000 0.5000  2 C 2.02
Rh 0.5000 0.0000 0.0000  2 C 2.02
Ru 0.5000 0.5000 0.5000  12 Rh 2.86

---

# RuRh3C

A relaxed RuRh3C crystal (PBE, the Alexandria database).

Results
energy above the most stable polymorph in this dataset	2.1763	eV per atom
formation enthalpy at 0 K	13.23	eV per formula unit
total moment	0.1	μB/f.u.
E	-27.3	eV per cell

a = 4.6443 Å, b = 4.6443 Å, c = 4.6443 Å
α = 90.00°, β = 90.00°, γ = 90.00°
Last column: nearest neighbours and their distance in Å.
Fractional coordinates of all 5 atoms:
Rh 0.5000 0.0000 0.0000  2 Ru 2.32
Rh 0.0000 0.5000 0.0000  2 Ru 2.32
Rh 0.0000 0.0000 0.5000  2 Ru 2.32
Ru 0.0000 0.0000 0.0000  6 Rh 2.32
C 0.5000 0.5000 0.5000  12 Rh 3.28

---

Please write out number 1 again, unchanged.
# RuRh3C

A relaxed RuRh3C crystal (PBE, the Alexandria database).

Results
energy above the most stable polymorph in this dataset	0.0000	eV per atom
formation enthalpy at 0 K	2.35	eV per formula unit
total moment	0.0	μB/f.u.
E	-38.2	eV per cell

a = 4.0456 Å, b = 4.0456 Å, c = 4.0456 Å
α = 90.00°, β = 90.00°, γ = 90.00°
Last column: nearest neighbours and their distance in Å.
Fractional coordinates of all 5 atoms:
C 0.0000 0.0000 0.0000  6 Rh 2.02
Rh 0.0000 0.5000 0.0000  2 C 2.02
Rh 0.0000 0.0000 0.5000  2 C 2.02
Rh 0.5000 0.0000 0.0000  2 C 2.02
Ru 0.5000 0.5000 0.5000  12 Rh 2.86